Computed, not measured: crystalline LiGdMo2O8 at its relaxed geometry at the PBE+U level of DFT.

Unit cell a=6.033 b=5.054 c=11.054 alpha=66.61 beta=90.00 gamma=90.00
Site moments in Bohr magnetons follow the coordinates.
Element x y z (fractional)
O  0.913  0.357  0.615  -0.01
O  0.632  0.777  0.638  0.00
O  0.368  0.223  0.362  0.00
O  0.107  0.147  0.905  -0.01
O  0.893  0.147  0.405  -0.01
O  0.913  0.643  0.885  -0.01
O  0.361  0.711  0.897  -0.01
O  0.087  0.357  0.115  -0.01
O  0.639  0.289  0.103  -0.01
O  0.893  0.853  0.095  -0.01
O  0.639  0.711  0.397  -0.01
O  0.368  0.777  0.138  0.00
O  0.107  0.853  0.595  -0.01
O  0.632  0.223  0.862  0.00
O  0.361  0.289  0.603  -0.01
O  0.087  0.643  0.385  -0.01
Mo  0.821  0.733  0.522  0.02
Mo  0.179  0.267  0.478  0.02
Mo  0.821  0.267  0.978  0.02
Mo  0.179  0.733  0.022  0.02
Gd  0.696  0.500  0.250  6.92
Gd  0.304  0.500  0.750  6.92
Li  0.761  0.000  0.750  0.00
Li  0.239  0.000  0.250  0.00

- space-group type = P2/c (13)
- total magnetic moment (μB/f.u.) = 6.94
- DFT total energy (eV/atom) = -7.944
- N(E_F) (states/eV/f.u.) = 0.00